1.
Compound: CdSiMo
Source: Alexandria via LeMat-Bulk
Functional: PBE
Structure: relaxed

Electronic total energy: -5.368 eV/atom
E above lowest polymorph: 0.256 eV per atom
Formation energy from raw total energies: 1.066 eV/f.u.
Crystal system: hexagonal
Total moment: 0.00 μB/cell

abc: 4.4099 4.4099 3.0252
angles: 90.00 90.00 120.00
Space group P-6m2 (No. 187)
Unique sites:
1 Cd 0.0000 0.0000 0.0000 [1 per cell]
2 Si 0.6667 0.3333 0.5000 [1 per cell]
3 Mo 0.3333 0.6667 0.5000 [1 per cell]

***

2.
Compound: CdSi2Mo
Source: Alexandria via LeMat-Bulk
Functional: PBE
Structure: relaxed

Electronic total energy: -5.510 eV/atom
Formation energy from raw total energies: 0.551 eV/f.u.
Crystal system: tetragonal
Total moment: 0.00 μB/cell

abc: 3.3699 3.3699 5.7002
angles: 90.00 90.00 90.00
Space group P4mm (No. 99)
Unique sites:
1 Cd 0.0000 0.0000 0.0000 [1 per cell]
2 Si 0.0000 0.0000 0.4942 [1 per cell]
3 Si 0.5000 0.5000 0.7431 [1 per cell]
4 Mo 0.5000 0.5000 0.3241 [1 per cell]

***

3.
Compound: CdSiMo3
Source: Alexandria via LeMat-Bulk
Functional: PBE
Structure: relaxed

Electronic total energy: -5.104 eV/atom
E above lowest polymorph: 1.712 eV per atom
Formation energy from raw total energies: 13.311 eV/f.u.
Crystal system: cubic
Total moment: 0.00 μB/cell

abc: 4.8328 4.8328 4.8328
angles: 90.00 90.00 90.00
Space group Pm-3m (No. 221)
Unique sites:
1 Cd 0.0000 0.0000 0.0000 [1 per cell]
2 Si 0.5000 0.5000 0.5000 [1 per cell]
3 Mo 0.0000 0.0000 0.5000 [3 per cell]

***

4.
Compound: CdSiTeMo
Source: Alexandria via LeMat-Bulk
Functional: PBE
Structure: relaxed

Electronic total energy: -5.027 eV/atom
E above lowest polymorph: 0.000 eV per atom
Formation energy from raw total energies: 0.203 eV/f.u.
Crystal system: trigonal
Total moment: 0.00 μB/cell

abc: 3.5859 3.5859 23.8799
angles: 90.00 90.00 120.00
Space group R3m (No. 160, hexagonal axes)
Unique sites:
1 Cd 0.0000 0.0000 0.0000 [3 per cell]
2 Si 0.0000 0.0000 0.7413 [3 per cell]
3 Te 0.0000 0.0000 0.8752 [3 per cell]
4 Mo 0.0000 0.0000 0.1338 [3 per cell]

***

5.
Compound: CdSiTeMo
Source: Alexandria via LeMat-Bulk
Functional: PBE
Structure: relaxed

Electronic total energy: -4.997 eV/atom
E above lowest polymorph: 0.030 eV per atom
Formation energy from raw total energies: 0.324 eV/f.u.
Crystal system: monoclinic
Total moment: 0.00 μB/cell

abc: 6.1490 3.5474 8.1258
angles: 90.00 104.29 90.00
Space group Cm (No. 8)
Unique sites:
1 Cd 0.0000 0.0000 0.0000 [2 per cell]
2 Si 0.4096 0.0000 0.2343 [2 per cell]
3 Te 0.0445 0.5000 0.6482 [2 per cell]
4 Mo 0.1351 0.0000 0.4141 [2 per cell]

***

6.
Compound: CdSiTeMo
Source: Alexandria via LeMat-Bulk
Functional: PBE
Structure: relaxed

Electronic total energy: -4.995 eV/atom
E above lowest polymorph: 0.032 eV per atom
Formation energy from raw total energies: 0.330 eV/f.u.
Crystal system: monoclinic
Total moment: 0.00 μB/cell

abc: 14.1138 3.7644 3.2652
angles: 90.00 90.06 90.00
Space group Cm (No. 8)
Unique sites:
1 Cd 0.0000 0.0000 0.0000 [2 per cell]
2 Si 0.3543 0.0000 0.9947 [2 per cell]
3 Te 0.1623 0.5000 0.9941 [2 per cell]
4 Mo 0.3155 0.5000 0.4945 [2 per cell]

***

7.
Compound: CdSiTeMo
Source: Alexandria via LeMat-Bulk
Functional: PBE
Structure: relaxed

Electronic total energy: -4.944 eV/atom
E above lowest polymorph: 0.083 eV per atom
Formation energy from raw total energies: 0.536 eV/f.u.
Crystal system: triclinic
Total moment: 0.00 μB/cell

abc: 3.3298 4.3770 6.9248
angles: 104.55 90.11 112.30
Space group P1 (No. 1)
Unique sites:
1 Cd 0.0000 0.0000 0.0000 [1 per cell]
2 Si 0.2162 0.4357 0.7424 [1 per cell]
3 Te 0.8363 0.6774 0.3230 [1 per cell]
4 Mo 0.4767 0.9562 0.6359 [1 per cell]

***

8.
Compound: CdSiTeMo
Source: Alexandria via LeMat-Bulk
Functional: PBE
Structure: relaxed

Electronic total energy: -4.884 eV/atom
E above lowest polymorph: 0.143 eV per atom
Formation energy from raw total energies: 0.776 eV/f.u.
Crystal system: monoclinic
Total moment: 0.00 μB/cell

abc: 7.9520 3.5189 6.4436
angles: 90.00 90.76 90.00
Space group Cm (No. 8)
Unique sites:
1 Cd 0.0000 0.0000 0.0000 [2 per cell]
2 Si 0.2856 0.0000 0.3140 [2 per cell]
3 Te 0.1768 0.5000 0.6763 [2 per cell]
4 Mo 0.4927 0.5000 0.4235 [2 per cell]

***

9.
Compound: CdSiTeMo
Source: Alexandria via LeMat-Bulk
Functional: PBE
Structure: relaxed

Electronic total energy: -4.950 eV/atom
E above lowest polymorph: 0.077 eV per atom
Formation energy from raw total energies: 0.511 eV/f.u.
Crystal system: orthorhombic
Total moment: 0.00 μB/cell

abc: 3.1317 3.1524 8.9341
angles: 90.00 90.00 90.00
Space group Pmm2 (No. 25)
Unique sites:
1 Cd 0.0000 0.0000 0.0000 [1 per cell]
2 Si 0.0000 0.0000 0.3508 [1 per cell]
3 Te 0.0000 0.0000 0.6531 [1 per cell]
4 Mo 0.5000 0.5000 0.2228 [1 per cell]

***

10.
Compound: CdSiTeMo
Source: Alexandria via LeMat-Bulk
Functional: PBE
Structure: relaxed

Electronic total energy: -4.986 eV/atom
E above lowest polymorph: 0.041 eV per atom
Formation energy from raw total energies: 0.366 eV/f.u.
Crystal system: triclinic
Total moment: 0.00 μB/cell

abc: 3.2688 3.2689 8.1722
angles: 78.73 78.53 89.93
Space group P1 (No. 1)
Unique sites:
1 Cd 0.0000 0.0000 0.0000 [1 per cell]
2 Si 0.6163 0.6135 0.7704 [1 per cell]
3 Te 0.8029 0.7967 0.3955 [1 per cell]
4 Mo 0.1973 0.1926 0.6069 [1 per cell]

***

11.
Compound: CdSiTeMo
Source: Alexandria via LeMat-Bulk
Functional: PBE
Structure: relaxed

Electronic total energy: -4.955 eV/atom
E above lowest polymorph: 0.072 eV per atom
Formation energy from raw total energies: 0.492 eV/f.u.
Crystal system: orthorhombic
Total moment: 0.00 μB/cell

abc: 2.9969 4.0629 14.8319
angles: 90.00 90.00 90.00
Space group Imm2 (No. 44)
Unique sites:
1 Cd 0.0000 0.0000 0.0000 [2 per cell]
2 Si 0.0000 0.5000 0.8348 [2 per cell]
3 Te 0.0000 0.5000 0.1450 [2 per cell]
4 Mo 0.0000 0.5000 0.3314 [2 per cell]

***

12.
Compound: CdSiTeMo
Source: Alexandria via LeMat-Bulk
Functional: PBE
Structure: relaxed

Electronic total energy: -4.966 eV/atom
E above lowest polymorph: 0.061 eV per atom
Formation energy from raw total energies: 0.447 eV/f.u.
Crystal system: monoclinic
Total moment: 0.00 μB/cell

abc: 8.1510 3.4343 6.6530
angles: 90.00 91.82 90.00
Space group Cm (No. 8)
Unique sites:
1 Cd 0.0000 0.0000 0.0000 [2 per cell]
2 Si 0.2972 0.0000 0.2414 [2 per cell]
3 Te 0.4101 0.5000 0.5801 [2 per cell]
4 Mo 0.0907 0.5000 0.3388 [2 per cell]

***

> Which value of formation energy from raw total energies does entry 4 give?

0.203 eV/f.u.